! BaNa2SrV PBE optimized geometry; values from VASP
! space group: P4/mmm (123)
! magnetic moment: 4.63 Bohr magnetons per cell
! energy of formation from the pure elements: 0.693 eV per atom
! Fermi-level density of states: 4.5 states/eV/cell
&SYSTEM
  ibrav = 0, nat = 5, ntyp = 4
/
ATOMIC_SPECIES
Ba 137.33 Ba.upf
V 50.94 V.upf
Na 22.99 Na.upf
Sr 87.62 Sr.upf
CELL_PARAMETERS angstrom
-3.8480 -4.0721 2.4146
0.3108 -3.3679 -5.1846
4.7242 -3.1016 2.2980
ATOMIC_POSITIONS crystal
Ba 0.0000 0.5000 0.0000
V 0.0000 0.0000 0.0000
Na 0.5000 0.0000 0.0000
Na 0.0000 0.0000 0.5000
Sr 0.5000 0.5000 0.5000